CaMgNi4 | PBE-GGA | optimized geometry

Results
For the total magnetic moment, the calculation gives 0.108 μB/atom. For the formation energy, the calculation gives -0.196 eV/atom. As for the space group: F-43m, No. 216.

Lattice parameters (Å, degrees): 4.960 4.960 4.960 60.00 60.00 60.00
Each line ends with the local moment (μB).
Fractional coordinates of all 6 atoms:
Ni (0.873, 0.376, 0.376)  0.17
Ni (0.376, 0.376, 0.376)  0.17
Ni (0.376, 0.873, 0.376)  0.17
Ni (0.376, 0.376, 0.873)  0.17
Mg (0.750, 0.750, 0.750)  0.00
Ca (0.000, 0.000, 0.000)  -0.01

---

Tb2Si3HgPt4 | PBE-GGA | optimized geometry

Results
For the total magnetic moment, the calculation gives 0.000 μB/atom. As for the uncorrected formation energy: -0.90 eV/atom. As for the space group: P-4m2, No. 115.

Lattice parameters (Å, degrees): 4.135 4.135 10.852 90.00 90.00 90.00
Fractional coordinates of all 10 atoms:
Pt (0.500, 0.000, 0.664)
Pt (0.000, 0.000, 0.000)
Pt (0.500, 0.500, 0.000)
Pt (0.000, 0.500, 0.336)
Si (0.000, 0.500, 0.124)
Si (0.000, 0.000, 0.500)
Si (0.500, 0.000, 0.876)
Hg (0.500, 0.500, 0.500)
Tb (0.500, 0.000, 0.245)
Tb (0.000, 0.500, 0.755)

---

Dy14PuSc | PBE-GGA | optimized geometry

Results
For the total magnetic moment, the calculation gives 0.374 μB/atom. For the formation energy, the calculation gives 0.033 eV/atom. As for the space group: Amm2, No. 38.

Lattice parameters (Å, degrees): 7.164 7.164 11.185 90.00 90.00 119.98
Each line ends with the local moment (μB).
Fractional coordinates of all 16 atoms:
Dy (0.333, 0.667, 0.500)  0.08
Dy (0.164, 0.334, 0.244)  -0.05
Dy (0.668, 0.332, 0.249)  -0.04
Dy (0.666, 0.836, 0.756)  -0.05
Dy (0.337, 0.168, 0.000)  -0.09
Dy (0.168, 0.832, 0.248)  0.05
Dy (0.666, 0.836, 0.244)  -0.05
Dy (0.333, 0.166, 0.500)  0.07
Dy (0.832, 0.663, 0.000)  -0.09
Dy (0.164, 0.334, 0.756)  -0.05
Dy (0.834, 0.667, 0.500)  0.07
Dy (0.168, 0.832, 0.752)  0.05
Dy (0.668, 0.332, 0.751)  -0.04
Dy (0.833, 0.167, 0.500)  0.22
Sc (0.334, 0.666, 0.000)  -0.09
Pu (0.832, 0.168, 0.000)  -5.57

---

MnSb2SeS | PBE-GGA | optimized geometry

Results
For the total magnetic moment, the calculation gives 0.815 μB/atom. As for the uncorrected formation energy: 0.70 eV/atom. As for the space group: P4/mmm, No. 123.

Lattice parameters (Å, degrees): 5.216 4.803 5.216 90.00 90.00 90.00
Each line ends with the local moment (μB).
Fractional coordinates of all 5 atoms:
Se (0.000, 0.500, 0.000)  -0.02
Mn (0.500, 0.500, 0.500)  4.32
Sb (0.000, 0.000, 0.500)  -0.14
Sb (0.500, 0.000, 0.000)  -0.12
S (0.000, 0.000, 0.000)  -0.02

---

Pm2ReCl | PBE-GGA | optimized geometry

Results
As for the polymorph energy (0 for the lowest one): 0.00 eV/f.u. For the total magnetic moment, the calculation gives 0.000 μB/atom. As for the uncorrected formation energy: -0.57 eV/atom. As for the space group: P4/mmm, No. 123.

Lattice parameters (Å, degrees): 3.467 3.467 8.018 90.00 90.00 90.00
Fractional coordinates of all 4 atoms:
Pm (0.000, 0.000, 0.785)
Pm (0.000, 0.000, 0.215)
Re (0.500, 0.500, 0.000)
Cl (0.500, 0.500, 0.500)

---

BaGeS | PBE-GGA | optimized geometry

Results
For the total magnetic moment, the calculation gives 0.000 μB/atom. As for the uncorrected formation energy: -0.67 eV/atom. As for the space group: Amm2, No. 38.

Lattice parameters (Å, degrees): 4.596 4.296 12.250 90.00 90.00 122.34
Fractional coordinates of all 6 atoms:
Ge (0.590, 0.181, 0.000)
Ge (0.397, 0.794, 0.500)
Ba (0.242, 0.483, 0.204)
Ba (0.242, 0.483, 0.796)
S (0.598, 0.196, 0.646)
S (0.598, 0.196, 0.354)

---

Tm2Be2SiO7 | PBE-GGA | optimized geometry

Results
For the total magnetic moment, the calculation gives 0.000 μB/atom. As for the uncorrected formation energy: -3.19 eV/atom. As for the space group: P-42_1m, No. 113.

Lattice parameters (Å, degrees): 7.265 7.265 4.748 90.00 90.00 90.00
Fractional coordinates of all 24 atoms:
O (0.000, 0.500, 0.187)
O (0.416, 0.338, 0.796)
O (0.500, 0.000, 0.813)
O (0.084, 0.838, 0.204)
O (0.838, 0.916, 0.796)
O (0.142, 0.642, 0.707)
O (0.642, 0.858, 0.293)
O (0.858, 0.358, 0.707)
O (0.584, 0.662, 0.796)
O (0.358, 0.142, 0.293)
O (0.162, 0.084, 0.796)
O (0.662, 0.416, 0.204)
O (0.916, 0.162, 0.204)
O (0.338, 0.584, 0.204)
Be (0.863, 0.363, 0.042)
Be (0.363, 0.137, 0.958)
Be (0.137, 0.637, 0.042)
Be (0.637, 0.863, 0.958)
Tm (0.342, 0.842, 0.491)
Tm (0.658, 0.158, 0.491)
Tm (0.158, 0.342, 0.509)
Tm (0.842, 0.658, 0.509)
Si (0.500, 0.500, 0.000)
Si (0.000, 0.000, 0.000)

---

CeSmGd2 | PBE-GGA | optimized geometry

Results
As for the polymorph energy (0 for the lowest one): 0.07 eV/f.u. For the total magnetic moment, the calculation gives 3.453 μB/atom. For the formation energy, the calculation gives 0.079 eV/atom. As for the space group: P4/mmm, No. 123.

Lattice parameters (Å, degrees): 5.055 5.042 5.042 90.00 90.00 90.00
Each line ends with the local moment (μB).
Fractional coordinates of all 4 atoms:
Gd (0.000, 0.500, 0.000)  -7.12
Gd (0.000, 0.000, 0.500)  -7.12
Ce (0.500, 0.500, 0.500)  0.62
Sm (0.500, 0.000, 0.000)  0.07

---

Ag5I3Br12 | PBE-GGA | optimized geometry

Results
For the total magnetic moment, the calculation gives 0.130 μB/atom. As for the uncorrected formation energy: -0.01 eV/atom. As for the space group: Ia-3d, No. 230.

Lattice parameters (Å, degrees): 15.416 15.416 15.416 109.47 109.47 109.47
Each line ends with the local moment (μB).
Fractional coordinates of all 80 atoms:
Ag (0.375, 0.125, 0.750)  0.02
Ag (0.750, 0.625, 0.375)  0.02
Ag (0.500, 0.000, 0.500)  0.01
Ag (0.000, 0.500, 0.000)  0.01
Ag (0.125, 0.375, 0.250)  0.02
Ag (0.500, 0.000, 0.000)  0.01
Ag (0.250, 0.375, 0.625)  0.02
Ag (0.000, 0.000, 0.500)  0.01
Ag (0.875, 0.625, 0.750)  0.02
Ag (0.250, 0.875, 0.125)  0.02
Ag (0.000, 0.500, 0.500)  0.01
Ag (0.500, 0.500, 0.500)  0.01
Ag (0.750, 0.125, 0.875)  0.02
Ag (0.625, 0.875, 0.250)  0.02
Ag (0.875, 0.250, 0.625)  0.02
Ag (0.000, 0.000, 0.000)  0.01
Ag (0.375, 0.250, 0.125)  0.02
Ag (0.500, 0.500, 0.000)  0.01
Ag (0.625, 0.750, 0.875)  0.02
Ag (0.125, 0.750, 0.375)  0.02
Br (0.981, 0.624, 0.167)  0.08
Br (0.357, 0.376, 0.043)  0.08
Br (0.186, 0.667, 0.043)  0.08
Br (0.376, 0.357, 0.543)  0.08
Br (0.957, 0.833, 0.814)  0.08
Br (0.019, 0.376, 0.833)  0.08
Br (0.519, 0.186, 0.143)  0.08
Br (0.876, 0.833, 0.519)  0.08
Br (0.457, 0.314, 0.333)  0.08
Br (0.314, 0.457, 0.833)  0.08
Br (0.314, 0.857, 0.981)  0.08
Br (0.481, 0.667, 0.124)  0.08
Br (0.457, 0.143, 0.624)  0.08
Br (0.543, 0.686, 0.667)  0.08
Br (0.833, 0.957, 0.314)  0.08
Br (0.814, 0.333, 0.957)  0.08
Br (0.624, 0.643, 0.457)  0.08
Br (0.643, 0.019, 0.186)  0.08
Br (0.667, 0.186, 0.543)  0.08
Br (0.143, 0.686, 0.519)  0.08
Br (0.357, 0.981, 0.814)  0.08
Br (0.876, 0.043, 0.857)  0.08
Br (0.376, 0.019, 0.333)  0.08
Br (0.143, 0.457, 0.124)  0.08
Br (0.814, 0.481, 0.357)  0.08
Br (0.833, 0.876, 0.019)  0.08
Br (0.543, 0.857, 0.376)  0.08
Br (0.857, 0.543, 0.876)  0.08
Br (0.019, 0.643, 0.686)  0.08
Br (0.043, 0.876, 0.357)  0.08
Br (0.519, 0.333, 0.876)  0.08
Br (0.333, 0.519, 0.376)  0.08
Br (0.686, 0.143, 0.019)  0.08
Br (0.481, 0.814, 0.857)  0.08
Br (0.167, 0.043, 0.686)  0.08
Br (0.043, 0.167, 0.186)  0.08
Br (0.333, 0.814, 0.457)  0.08
Br (0.643, 0.624, 0.957)  0.08
Br (0.957, 0.124, 0.643)  0.08
Br (0.124, 0.167, 0.481)  0.08
Br (0.124, 0.957, 0.143)  0.08
Br (0.857, 0.314, 0.481)  0.08
Br (0.186, 0.519, 0.643)  0.08
Br (0.624, 0.981, 0.667)  0.08
Br (0.167, 0.124, 0.981)  0.08
Br (0.686, 0.543, 0.167)  0.08
Br (0.981, 0.357, 0.314)  0.08
Br (0.667, 0.481, 0.624)  0.08
I (0.750, 0.875, 0.625)  0.30
I (0.625, 0.375, 0.750)  0.30
I (0.250, 0.125, 0.375)  0.30
I (0.250, 0.625, 0.875)  0.30
I (0.125, 0.250, 0.875)  0.30
I (0.625, 0.250, 0.375)  0.30
I (0.375, 0.625, 0.250)  0.30
I (0.375, 0.750, 0.625)  0.30
I (0.750, 0.375, 0.125)  0.30
I (0.875, 0.125, 0.250)  0.30
I (0.125, 0.875, 0.750)  0.30
I (0.875, 0.750, 0.125)  0.30

---

HoPdAu2 | PBE-GGA | optimized geometry

Results
For the total magnetic moment, the calculation gives 0.000 μB/atom. For the formation energy, the calculation gives -0.701 eV/atom. As for the space group: Fm-3m, No. 225.

Lattice parameters (Å, degrees): 4.801 4.801 4.801 60.00 60.00 60.00
Fractional coordinates of all 4 atoms:
Au (0.250, 0.250, 0.250)
Au (0.750, 0.750, 0.750)
Ho (0.000, 0.000, 0.000)
Pd (0.500, 0.500, 0.500)

---

Tb3NiIr2 | PBE-GGA | optimized geometry

Results
For the total magnetic moment, the calculation gives 0.000 μB/atom. For the formation energy, the calculation gives -0.694 eV/atom. As for the space group: Pnma, No. 62.

Lattice parameters (Å, degrees): 4.150 11.097 11.220 90.00 90.00 90.00
Fractional coordinates of all 24 atoms:
Tb (0.250, 0.061, 0.881)
Tb (0.250, 0.122, 0.548)
Tb (0.750, 0.939, 0.119)
Tb (0.750, 0.561, 0.619)
Tb (0.750, 0.622, 0.952)
Tb (0.250, 0.378, 0.048)
Tb (0.250, 0.695, 0.212)
Tb (0.250, 0.439, 0.381)
Tb (0.750, 0.305, 0.788)
Tb (0.750, 0.195, 0.288)
Tb (0.250, 0.805, 0.712)
Tb (0.750, 0.878, 0.452)
Ni (0.250, 0.129, 0.129)
Ni (0.750, 0.629, 0.371)
Ni (0.750, 0.871, 0.871)
Ni (0.250, 0.371, 0.629)
Ir (0.250, 0.691, 0.483)
Ir (0.750, 0.498, 0.190)
Ir (0.250, 0.809, 0.983)
Ir (0.750, 0.191, 0.017)
Ir (0.750, 0.002, 0.690)
Ir (0.250, 0.998, 0.310)
Ir (0.250, 0.502, 0.810)
Ir (0.750, 0.309, 0.517)

---

BTePd2 | PBE-GGA | optimized geometry

Results
As for the polymorph energy (0 for the lowest one): 1.87 eV/f.u. For the total magnetic moment, the calculation gives 0.000 μB/atom. As for the uncorrected formation energy: 0.57 eV/atom. As for the space group: Fm-3m, No. 225.

Lattice parameters (Å, degrees): 4.492 4.492 4.492 60.00 60.00 60.00
Fractional coordinates of all 4 atoms:
Te (0.500, 0.500, 0.500)
B (0.000, 0.000, 0.000)
Pd (0.750, 0.750, 0.750)
Pd (0.250, 0.250, 0.250)

---

Y3SbS6 | PBE-GGA | optimized geometry

Results
For the total magnetic moment, the calculation gives 0.000 μB/atom. As for the uncorrected formation energy: -1.57 eV/atom. As for the space group: Cmc2_1, No. 36.

Lattice parameters (Å, degrees): 6.818 8.545 8.545 103.12 90.00 90.00
Fractional coordinates of all 20 atoms:
S (0.199, 0.434, 0.901)
S (0.682, 0.305, 0.364)
S (0.699, 0.901, 0.434)
S (0.682, 0.636, 0.695)
S (0.620, 0.231, 0.769)
S (0.182, 0.695, 0.636)
S (0.250, 0.012, 0.988)
S (0.120, 0.769, 0.231)
S (0.750, 0.988, 0.012)
S (0.199, 0.099, 0.566)
S (0.699, 0.566, 0.099)
S (0.182, 0.364, 0.305)
Y (0.982, 0.713, 0.916)
Y (0.390, 0.404, 0.596)
Y (0.482, 0.916, 0.713)
Y (0.982, 0.084, 0.287)
Y (0.890, 0.596, 0.404)
Y (0.482, 0.287, 0.084)
Sb (0.501, 0.822, 0.178)
Sb (0.001, 0.178, 0.822)

---

La5PrCd3 | PBE-GGA | optimized geometry

Results
For the total magnetic moment, the calculation gives 0.000 μB/atom. For the formation energy, the calculation gives -0.175 eV/atom. As for the space group: P6_3/mcm, No. 193.

Lattice parameters (Å, degrees): 7.214 9.653 9.653 120.00 90.00 90.00
Fractional coordinates of all 18 atoms:
Pr (0.000, 0.000, 0.000)
Pr (0.500, 0.000, 0.000)
La (0.500, 0.667, 0.334)
La (0.750, 0.335, 0.000)
La (0.750, 0.000, 0.335)
La (0.250, 0.665, 0.000)
La (0.250, 0.335, 0.335)
La (0.000, 0.667, 0.334)
La (0.500, 0.333, 0.666)
La (0.250, 0.000, 0.665)
La (0.750, 0.665, 0.665)
La (0.000, 0.333, 0.666)
Cd (0.250, 0.670, 0.670)
Cd (0.750, 0.670, 0.000)
Cd (0.750, 0.330, 0.330)
Cd (0.750, 0.000, 0.670)
Cd (0.250, 0.000, 0.330)
Cd (0.250, 0.330, 0.000)

---

BaAl3Ga | PBE-GGA | optimized geometry

Results
As for the polymorph energy (0 for the lowest one): 0.00 eV/f.u. For the total magnetic moment, the calculation gives 0.000 μB/atom. For the formation energy, the calculation gives -0.313 eV/atom. As for the space group: Fmm2, No. 42.

Lattice parameters (Å, degrees): 4.538 4.538 6.498 69.58 69.57 89.92
Fractional coordinates of all 5 atoms:
Al (0.151, 0.454, 0.404)
Al (0.651, 0.954, 0.404)
Al (0.782, 0.586, 0.140)
Ga (0.021, 0.824, 0.664)
Ba (0.403, 0.206, 0.899)

---

Sr3AsH | PBE-GGA | optimized geometry

Results
As for the polymorph energy (0 for the lowest one): 1.44 eV/f.u. For the total magnetic moment, the calculation gives 0.176 μB/atom. As for the space group: Pm-3m, No. 221.

Lattice parameters (Å, degrees): 5.147 5.147 5.147 90.00 90.00 90.00
Each line ends with the local moment (μB).
Fractional coordinates of all 5 atoms:
Sr (0.000, 0.000, 0.500)  0.06
Sr (0.500, 0.000, 0.000)  0.12
Sr (0.000, 0.500, 0.000)  0.10
H (0.000, 0.000, 0.000)  0.00
As (0.500, 0.500, 0.500)  -0.01

---

NbTl2Ge | PBE-GGA | optimized geometry

Results
As for the polymorph energy (0 for the lowest one): 0.22 eV/f.u. For the total magnetic moment, the calculation gives 0.643 μB/atom. For the formation energy, the calculation gives 0.720 eV/atom. As for the space group: Fm-3m, No. 225.

Lattice parameters (Å, degrees): 5.111 5.111 5.111 60.00 60.00 60.00
Each line ends with the local moment (μB).
Fractional coordinates of all 4 atoms:
Tl (0.750, 0.750, 0.750)  0.02
Tl (0.250, 0.250, 0.250)  0.02
Ge (0.000, 0.000, 0.000)  -0.05
Nb (0.500, 0.500, 0.500)  2.10

---

LaAuBr2 | PBE-GGA | optimized geometry

Results
As for the polymorph energy (0 for the lowest one): 0.48 eV/f.u. For the total magnetic moment, the calculation gives 0.000 μB/atom. As for the uncorrected formation energy: -1.18 eV/atom. As for the space group: P4mm, No. 99.

Lattice parameters (Å, degrees): 3.882 3.882 8.180 90.00 90.00 90.02
Fractional coordinates of all 4 atoms:
La (0.000, 0.000, 0.547)
Br (0.000, 0.000, 0.907)
Br (0.500, 0.500, 0.315)
Au (0.500, 0.500, 0.731)

---

Pm4PtSeS2 | PBE-GGA | optimized geometry

Results
For the total magnetic moment, the calculation gives 0.000 μB/atom. As for the uncorrected formation energy: -1.74 eV/atom. As for the space group: P2/m, No. 10.

Lattice parameters (Å, degrees): 4.060 7.184 7.202 70.95 90.00 90.00
Fractional coordinates of all 8 atoms:
Pm (0.000, 0.752, 0.755)
Pm (0.000, 0.248, 0.245)
Pm (0.500, 0.238, 0.756)
Pm (0.500, 0.762, 0.244)
S (0.000, 0.000, 0.000)
S (0.500, 0.000, 0.500)
Pt (0.500, 0.500, 0.000)
Se (0.000, 0.500, 0.500)